# LiPmP2O8 | Alexandria via LeMat-Bulk | GGA-PBE | optimized geometry
data_LiPmP2O8
_chemical_formula_sum 'Li2 Pm2 P4 O16'
_symmetry_space_group_name_H-M 'I -4 m 2'
_symmetry_Int_Tables_number 119
_symmetry_space_group_name_Hall 'I -4 -2'
_cell_length_a 7.014
_cell_length_b 7.014
_cell_length_c 6.225
_cell_angle_alpha 90.00
_cell_angle_beta 90.00
_cell_angle_gamma 90.00
loop_
_atom_site_label
_atom_site_type_symbol
_atom_site_fract_x
_atom_site_fract_y
_atom_site_fract_z
_atom_site_occupancy
Li1 Li 0.000 0.000 0.000 1
Pm1 Pm 0.000 0.500 0.750 1
P1 P 0.000 0.000 0.500 1
P2 P 0.000 0.500 0.250 1
O1 O 0.000 0.175 0.650 1
O2 O 0.000 0.324 0.099 1
# E_tot: -168.1 eV per cell
# E_form (uncorrected): -2.243 eV per atom